Entry 1:
VASP calculation (PBE) on crystalline MoRuN2 at its relaxed geometry.

Computed properties:
formation energy without anion corrections: 0.7171 eV/atom
VASP energy: -8.4723 eV/atom
space group: Fm-3m, No. 225
offset from the most stable computed form: 662 meV per atom

Structure (POSCAR):
```
MoRuN2
1.0
2.1194 -0.4118 3.1470
-0.8457 -2.7328 2.5261
2.2922 -3.0283 0.3742
Ru Mo N
1 1 2
Direct
0.5000 0.5000 0.5000
0.0000 0.0000 0.0000
0.2500 0.2500 0.2500
0.7500 0.7500 0.7500
```

---

Entry 2:
VASP calculation (PBE) on crystalline Fe2Pd9Rh at its relaxed geometry.

Computed properties:
VASP energy: -5.9549 eV/atom
space group: P4/mmm, No. 123
energy of formation from the pure elements: -0.86 kcal/mol of atoms

Structure (POSCAR):
```
Fe2Pd9Rh
1.0
-2.8591 2.4716 0.9890
-1.1924 0.1086 -3.7186
-7.1131 -9.0356 2.0170
Fe Pd Rh
2 9 1
Direct
0.0000 0.0000 0.3326
0.0000 0.0000 0.6674
0.5000 0.5000 0.0000
0.5000 0.5000 0.3352
0.5000 0.5000 0.6648
0.5000 0.0000 0.1708
0.5000 0.0000 0.5000
0.5000 0.0000 0.8292
0.0000 0.5000 0.1708
0.0000 0.5000 0.5000
0.0000 0.5000 0.8292
0.0000 0.0000 0.0000
```

---

Entry 3:
VASP calculation (PBE) on crystalline PaAgSb at its relaxed geometry.

Computed properties:
formation energy without anion corrections: -0.0382 eV/atom
VASP energy: -5.5280 eV/atom
space group: I4mm, No. 107
offset from the most stable computed form: 74 meV per atom

Structure (POSCAR):
```
PaAgSb
1.0
-1.5227 1.7719 -3.1568
2.9325 -1.4043 -2.2027
-3.2844 -4.0863 1.7336
Sb Pa Ag
1 1 1
Direct
0.6669 0.6669 0.3338
0.3311 0.3311 0.6622
0.0020 0.0020 0.0040
```

---

Entry 4:
VASP calculation (PBE) on crystalline MgCoSi2 at its relaxed geometry.

Computed properties:
formation energy without anion corrections: 0.0695 eV/atom
VASP energy: -4.8171 eV/atom
space group: I-4m2, No. 119

Structure (POSCAR):
```
MgCoSi2
1.0
4.6719 -0.0004 0.0000
1.6910 4.3552 0.0000
-3.1815 -2.1774 2.6390
Co Mg Si
1 1 2
Direct
0.5000 0.5000 0.0000
0.7500 0.2500 0.5000
0.0000 0.0000 0.0000
0.2500 0.7500 0.5000
```

---

Entry 5:
VASP calculation (PBE) on crystalline BAsHBr2 at its relaxed geometry.

Computed properties:
VASP energy: -2.4666 eV/atom
space group: P4/mmm, No. 123
offset from the most stable computed form: 120 meV per atom

Structure (POSCAR):
```
BAsHBr2
1.0
5.1811 0.0000 0.0000
0.0000 5.1811 0.0000
0.0000 0.0000 3.4899
H As B Br
1 1 1 2
Direct
0.0000 0.0000 0.0000
0.0000 0.0000 0.5000
0.5000 0.5000 0.5000
0.0000 0.5000 0.0000
0.5000 0.0000 0.0000
```

---

Entry 6:
VASP calculation (PBE) on crystalline Nd8CuSb2 at its relaxed geometry.

Computed properties:
formation energy without anion corrections: -0.3901 eV/atom
VASP energy: -4.9795 eV/atom
space group: C2/m, No. 12

Structure (POSCAR):
```
Nd8CuSb2
1.0
4.8495 0.0000 0.0000
0.0000 7.4105 0.5965
-2.4247 -2.3234 9.3719
Nd Cu Sb
8 1 2
Direct
0.4062 0.4960 0.8123
0.6535 0.0272 0.3070
0.7850 0.6546 0.5701
0.9914 0.2200 0.9828
0.2150 0.3454 0.4299
0.3465 0.9728 0.6930
0.5938 0.5040 0.1877
0.0086 0.7800 0.0172
0.5000 0.0000 0.0000
0.8185 0.2331 0.6370
0.1815 0.7669 0.3630
```

---

Entry 7:
VASP calculation (PBE) on crystalline In2IrPb at its relaxed geometry.

Computed properties:
VASP energy: -4.3164 eV/atom
space group: R3m, No. 160
energy of formation from the pure elements: 4.50 kcal/mol of atoms

Structure (POSCAR):
```
In2IrPb
1.0
-9.9648 -1.8464 -0.2552
-8.8764 -4.8573 0.6216
-9.3669 -2.5304 2.9375
In Ir Pb
2 1 1
Direct
0.9942 0.9942 0.9942
0.2371 0.2371 0.2371
0.5036 0.5036 0.5036
0.7651 0.7651 0.7651
```

---

Entry 8:
VASP calculation (PBE) on crystalline MgCoMo2 at its relaxed geometry.

Computed properties:
VASP energy: -7.2758 eV/atom
space group: Pmmm, No. 47
energy of formation from the pure elements: 7.26 kcal/mol of atoms

Structure (POSCAR):
```
MgCoMo2
1.0
2.6816 0.0000 0.0000
0.0000 4.2321 0.0000
0.0000 0.0000 5.2104
Co Mg Mo
1 1 2
Direct
0.5000 0.5000 0.2500
0.5000 0.5000 0.7500
0.0000 0.0000 0.0069
0.0000 0.0000 0.4931
```